P:
The following is a meta-GGA SCAN calculation of a PBEsol-optimized structure of NbTe2IF, from Alexandria.

## Properties
V = 24.51 Å³ per atom
N(E_F) = 0.60 states/eV per atom

Structure (CIF):
```
data_NbTe2IF
_symmetry_space_group_name_H-M 'P 4/m m m'
_symmetry_Int_Tables_number 123
_symmetry_space_group_name_Hall '-P 4 2'
_cell_length_a 4.620
_cell_length_b 4.620
_cell_length_c 5.742
_cell_angle_alpha 90.00
_cell_angle_beta 90.00
_cell_angle_gamma 90.00
loop_
_atom_site_label
_atom_site_fract_x
_atom_site_fract_y
_atom_site_fract_z
Nb1 0.000 0.000 0.000
Te1 0.000 0.500 0.500
I1 0.500 0.500 0.000
F1 0.500 0.500 0.500
```

=====

Q:
The following is a meta-GGA SCAN calculation of a PBEsol-optimized structure of NbTe2IF, from Alexandria.

## Properties
V = 30.11 Å³ per atom
N(E_F) = 0.99 states/eV per atom

Structure (CIF):
```
data_NbTe2IF
_symmetry_space_group_name_H-M 'P 4/m m m'
_symmetry_Int_Tables_number 123
_symmetry_space_group_name_Hall '-P 4 2'
_cell_length_a 5.272
_cell_length_b 5.272
_cell_length_c 5.416
_cell_angle_alpha 90.00
_cell_angle_beta 90.00
_cell_angle_gamma 90.00
loop_
_atom_site_label
_atom_site_fract_x
_atom_site_fract_y
_atom_site_fract_z
Nb1 0.000 0.000 0.000
Te1 0.000 0.500 0.000
I1 0.000 0.000 0.500
F1 0.500 0.500 0.500
```

=====

Which structure loses on stability? P does.

=====

P:
The following is a meta-GGA SCAN calculation of a PBEsol-optimized structure of IOF3, from Alexandria.

## Properties
V = 15.42 Å³ per atom
N(E_F) = 0.00 states/eV per atom

Structure (CIF):
```
data_IOF3
_symmetry_space_group_name_H-M 'P 21 21 21'
_symmetry_Int_Tables_number 19
_symmetry_space_group_name_Hall 'P 2ac 2ab'
_cell_length_a 5.118
_cell_length_b 5.493
_cell_length_c 10.970
_cell_angle_alpha 90.00
_cell_angle_beta 90.00
_cell_angle_gamma 90.00
loop_
_atom_site_label
_atom_site_fract_x
_atom_site_fract_y
_atom_site_fract_z
I1 0.143 0.074 0.090
O1 0.202 0.661 0.524
F1 0.030 0.291 0.222
F2 0.060 0.997 0.687
F3 0.201 0.128 0.464
```

=====

Q:
The following is a meta-GGA SCAN calculation of a PBEsol-optimized structure of IOF3, from Alexandria.

## Properties
V = 12.80 Å³ per atom
N(E_F) = 0.38 states/eV per atom

Structure (CIF):
```
data_IOF3
_symmetry_space_group_name_H-M 'P m -3 m'
_symmetry_Int_Tables_number 221
_symmetry_space_group_name_Hall '-P 4 2 3'
_cell_length_a 4.000
_cell_length_b 4.000
_cell_length_c 4.000
_cell_angle_alpha 90.00
_cell_angle_beta 90.00
_cell_angle_gamma 90.00
loop_
_atom_site_label
_atom_site_fract_x
_atom_site_fract_y
_atom_site_fract_z
I1 0.000 0.000 0.000
O1 0.500 0.500 0.500
F1 0.000 0.500 0.500
```

=====

Which structure loses on stability? Q does.

=====

P:
The following is a meta-GGA SCAN calculation of a PBEsol-optimized structure of YIOF2, from Alexandria.

## Properties
V = 17.20 Å³ per atom
N(E_F) = 0.33 states/eV per atom

Structure (CIF):
```
data_YIOF2
_symmetry_space_group_name_H-M 'P 4/m m m'
_symmetry_Int_Tables_number 123
_symmetry_space_group_name_Hall '-P 4 2'
_cell_length_a 4.261
_cell_length_b 4.261
_cell_length_c 4.737
_cell_angle_alpha 90.00
_cell_angle_beta 90.00
_cell_angle_gamma 90.00
loop_
_atom_site_label
_atom_site_fract_x
_atom_site_fract_y
_atom_site_fract_z
Y1 0.000 0.000 0.000
I1 0.500 0.500 0.500
O1 0.000 0.000 0.500
F1 0.000 0.500 0.000
```

=====

Q:
The following is a meta-GGA SCAN calculation of a PBEsol-optimized structure of YIOF2, from Alexandria.

## Properties
V = 20.22 Å³ per atom
N(E_F) = 0.59 states/eV per atom

Structure (CIF):
```
data_YIOF2
_symmetry_space_group_name_H-M 'P 4/m m m'
_symmetry_Int_Tables_number 123
_symmetry_space_group_name_Hall '-P 4 2'
_cell_length_a 5.046
_cell_length_b 5.046
_cell_length_c 3.969
_cell_angle_alpha 90.00
_cell_angle_beta 90.00
_cell_angle_gamma 90.00
loop_
_atom_site_label
_atom_site_fract_x
_atom_site_fract_y
_atom_site_fract_z
Y1 0.000 0.000 0.000
I1 0.500 0.500 0.500
O1 0.500 0.500 0.000
F1 0.000 0.500 0.500
```

=====

Which structure loses on stability? Q does.